# 1
# ZrCdOs2 (PBE, relaxed)
# * crystal system: monoclinic
# * calculated formation energy: 0.3223 eV/atom
data_ZrCdOs2
_chemical_formula_sum 'Zr1 Cd1 Os2'
_symmetry_space_group_name_H-M 'P 1'
_symmetry_Int_Tables_number 1
_symmetry_space_group_name_Hall 'P 1'
_cell_length_a 5.4792
_cell_length_b 5.4792
_cell_length_c 2.8182
_cell_angle_alpha 76.59
_cell_angle_beta 76.59
_cell_angle_gamma 115.87
loop_
_atom_site_label
_atom_site_type_symbol
_atom_site_fract_x
_atom_site_fract_y
_atom_site_fract_z
Os1 Os 0.5000 0.5000 0.0000
Os2 Os 0.0000 0.0000 0.0000
Zr1 Zr 0.5000 0.0000 0.5000
Cd1 Cd 0.0000 0.5000 0.5000

# 2
# ZrMo (PBE, relaxed)
# * excess energy over the best structure of this formula in the dataset: 357 meV per atom
# * crystal system: trigonal
# * calculated formation energy: 0.3150 eV/atom
data_ZrMo
_chemical_formula_sum 'Zr1 Mo1'
_symmetry_space_group_name_H-M 'P 1'
_symmetry_Int_Tables_number 1
_symmetry_space_group_name_Hall 'P 1'
_cell_length_a 4.6911
_cell_length_b 4.6911
_cell_length_c 4.6911
_cell_angle_alpha 39.90
_cell_angle_beta 39.90
_cell_angle_gamma 39.90
loop_
_atom_site_label
_atom_site_type_symbol
_atom_site_fract_x
_atom_site_fract_y
_atom_site_fract_z
Mo1 Mo 0.0000 0.0000 0.0000
Zr1 Zr 0.5000 0.5000 0.5000

> Which of these has the lowest calculated formation energy?

ZrMo

> Which value of calculated formation energy does entry 2 give?

0.3150 eV/atom

> Which of these has the lowest calculated formation energy?

ZrMo

> calculated formation energy of number 1 (ZrCdOs2)?

0.3223 eV/atom